[1]
The following is a PBE calculation of an optimized crystal structure of Sn2GeO, from Alexandria via LeMat-Bulk.

Cell lengths 5.402, 5.402, 7.498 Å; angles 68.89, 68.89, 90.00 degrees
Element x y z (fractional)
Ge  0.000  0.000  0.000
Ge  0.750  0.250  0.500
Sn  0.551  0.125  0.250
Sn  0.199  0.625  0.250
Sn  0.375  0.449  0.750
Sn  0.875  0.801  0.750
O  0.500  0.500  0.000
O  0.250  0.750  0.500

Polymorph energy (0 for the lowest one) = 0.000 eV/atom
SG = I-42d
Uncorrected formation energy = -0.301 eV per atom
Raw total energy = -37.572 eV/cell



[2]
The following is a PBE calculation of an optimized crystal structure of SnGeO3, from Alexandria via LeMat-Bulk.

Cell lengths 7.272, 11.967, 12.846 Å; angles 114.04, 90.00, 90.00 degrees
Element x y z (fractional)
Sn  0.681  0.321  0.104
Sn  0.029  0.452  0.319
Sn  0.319  0.821  0.604
Sn  0.971  0.952  0.819
Sn  0.373  0.587  0.171
Sn  0.627  0.087  0.671
Sn  0.373  0.913  0.329
Sn  0.627  0.413  0.829
Sn  0.029  0.048  0.181
Sn  0.681  0.179  0.396
Sn  0.971  0.548  0.681
Sn  0.319  0.679  0.896
Ge  0.170  0.298  0.045
Ge  0.591  0.540  0.394
Ge  0.830  0.798  0.545
Ge  0.870  0.612  0.156
Ge  0.409  0.040  0.894
Ge  0.870  0.888  0.344
Ge  0.130  0.112  0.656
Ge  0.591  0.960  0.106
Ge  0.130  0.388  0.844
Ge  0.170  0.202  0.455
Ge  0.409  0.460  0.606
Ge  0.830  0.702  0.955
O  0.010  0.301  0.150
O  0.500  0.500  0.500
O  0.723  0.416  0.294
O  0.368  0.385  0.108
O  0.781  0.642  0.457
O  0.416  0.595  0.337
O  0.990  0.801  0.650
O  0.500  0.000  0.000
O  0.686  0.506  0.115
O  0.054  0.567  0.220
O  0.277  0.916  0.794
O  0.632  0.885  0.608
O  0.957  0.861  0.461
O  0.219  0.142  0.957
O  0.761  0.750  0.250
O  0.584  0.095  0.837
O  0.957  0.639  0.039
O  0.314  0.006  0.615
O  0.946  0.067  0.720
O  0.054  0.933  0.280
O  0.686  0.994  0.385
O  0.043  0.361  0.961
O  0.416  0.905  0.163
O  0.239  0.250  0.750
O  0.781  0.858  0.043
O  0.043  0.139  0.539
O  0.368  0.115  0.392
O  0.723  0.084  0.206
O  0.946  0.433  0.780
O  0.314  0.494  0.885
O  0.010  0.199  0.350
O  0.584  0.405  0.663
O  0.219  0.358  0.543
O  0.632  0.615  0.892
O  0.277  0.584  0.706
O  0.990  0.699  0.850

SG = P2/c
Uncorrected formation energy = -1.492 eV per atom
Raw total energy = -371.454 eV/cell



[3]
The following is a PBE calculation of an optimized crystal structure of SnGe2O6, from Alexandria via LeMat-Bulk.

Cell lengths 6.843, 6.843, 5.670 Å; angles 75.76, 75.76, 83.97 degrees
Element x y z (fractional)
Sn  0.104  0.896  0.750
Sn  0.896  0.104  0.250
Ge  0.213  0.387  0.747
Ge  0.613  0.787  0.753
Ge  0.787  0.613  0.253
Ge  0.387  0.213  0.247
O  0.375  0.362  0.463
O  0.638  0.625  0.037
O  0.625  0.638  0.537
O  0.362  0.375  0.963
O  0.618  0.077  0.207
O  0.923  0.382  0.293
O  0.382  0.923  0.793
O  0.077  0.618  0.707
O  0.042  0.182  0.864
O  0.818  0.958  0.636
O  0.958  0.818  0.136
O  0.182  0.042  0.364

SG = C2/c
Uncorrected formation energy = -1.584 eV per atom
Raw total energy = -114.490 eV/cell



[4]
The following is a PBE calculation of an optimized crystal structure of Sn3GeO, from Alexandria via LeMat-Bulk.

Cell lengths 4.858, 4.858, 4.858 Å; angles 90.00, 90.00, 90.00 degrees
Element x y z (fractional)
Ge  0.500  0.500  0.500
Sn  0.000  0.500  0.000
Sn  0.000  0.000  0.500
Sn  0.500  0.000  0.000
O  0.000  0.000  0.000

Polymorph energy (0 for the lowest one) = 0.000 eV/atom
SG = Pm-3m
Uncorrected formation energy = -0.156 eV per atom
Raw total energy = -22.365 eV/cell